The following is a DFT calculation (PBE-GGA) of an optimized crystal structure of Tb5C.

Summary:
calculated volume = 195 Å³ per cell

abc: 6.1294 6.1294 5.9787
angles: 90.00 90.00 120.00
Space group P6/mmm (No. 191)
One atom of each set of equivalent atoms:
Tb (0.0000, 0.5000, 0.0000) [3 per cell]
Tb (0.3333, 0.6667, 0.5000) [2 per cell]
C (0.0000, 0.0000, 0.5000) [1 per cell]

=====

The following is a DFT calculation (PBE-GGA) of an optimized crystal structure of TbC8.

Summary:
calculated volume = 94 Å³ per cell

abc: 5.0068 5.0068 4.3368
angles: 90.00 90.00 120.00
Space group P6/mmm (No. 191)
One atom of each set of equivalent atoms:
Tb (0.0000, 0.0000, 0.0000) [1 per cell]
C (0.1679, 0.3359, 0.5000) [6 per cell]
C (0.3333, 0.6667, 0.5000) [2 per cell]

=====

The following is a DFT calculation (PBE-GGA) of an optimized crystal structure of TbC2.

Summary:
energy above the lowest structure with this stoichiometry = 3284 meV per atom
calculated volume = 1175 Å³ per cell

abc: 10.553 10.553 10.553
angles: 90.00 90.00 90.00
Space group Fd-3m (No. 227, origin choice 2)
One atom of each set of equivalent atoms:
Tb (0.125, 0.125, 0.125) [8 per cell]
C (0.000, 0.000, 0.000) [16 per cell]

=====

The following is a DFT calculation (PBE-GGA) of an optimized crystal structure of TbC2.

Summary:
energy above the lowest structure with this stoichiometry = 1995 meV per atom
calculated volume = 279 Å³ per cell

abc: 6.532 6.532 6.532
angles: 90.00 90.00 90.00
Space group Fd-3m (No. 227, origin choice 2)
One atom of each set of equivalent atoms:
Tb (0.125, 0.125, 0.125) [8 per cell]
C (0.000, 0.000, 0.500) [16 per cell]

=====

In order of appearance, DFT total energy = -3.814 -8.682 -4.596 -5.886 eV/atom.